A plane-wave DFT calculation with PBE-GGA was carried out for a relaxed MgTeMo2 crystal.

a b c (Å): 5.068 5.068 4.787
angles (deg): 98.54 98.54 38.34
Atoms (fractional coordinates):
Mg (0.000, 0.000, 0.000)
Te (0.500, 0.500, 0.500)
Mo (0.249, 0.249, 0.794)
Mo (0.751, 0.751, 0.206)

Values from the calculation:
size of the total moment = 0.00 μB/cell
formation energy (no corrections) = 0.3938 eV/atom
volume = 18.829 Å³ per atom

---

A plane-wave DFT calculation with PBE-GGA was carried out for a relaxed MgTeMo2 crystal.

a b c (Å): 3.187 4.555 5.386
angles (deg): 90.00 104.43 90.00
Atoms (fractional coordinates):
Mg (0.000, 0.000, 0.000)
Te (0.430, 0.500, 0.749)
Mo (0.488, 0.000, 0.474)
Mo (0.733, 0.500, 0.298)

Values from the calculation:
size of the total moment = 0.00 μB/cell
formation energy (no corrections) = 0.3920 eV/atom
volume = 18.927 Å³ per atom

---

A plane-wave DFT calculation with PBE-GGA was carried out for a relaxed MgTeMo2 crystal.

a b c (Å): 4.621 4.621 4.621
angles (deg): 60.00 60.00 60.00
Atoms (fractional coordinates):
Mg (0.000, 0.000, 0.000)
Te (0.500, 0.500, 0.500)
Mo (0.250, 0.250, 0.250)
Mo (0.750, 0.750, 0.750)

Values from the calculation:
size of the total moment = 0.70 μB/cell
formation energy (no corrections) = 0.5549 eV/atom
volume = 17.444 Å³ per atom

---

A plane-wave DFT calculation with PBE-GGA was carried out for a relaxed MgTeMo2 crystal.

a b c (Å): 4.663 4.663 4.663
angles (deg): 60.00 60.00 60.00
Atoms (fractional coordinates):
Mg (0.000, 0.000, 0.000)
Te (0.250, 0.250, 0.250)
Mo (0.500, 0.500, 0.500)
Mo (0.750, 0.750, 0.750)

Values from the calculation:
size of the total moment = 0.65 μB/cell
formation energy (no corrections) = 0.4454 eV/atom
volume = 17.925 Å³ per atom

---

A plane-wave DFT calculation with PBE-GGA was carried out for a relaxed MgTeMo2 crystal.

a b c (Å): 4.495 4.495 3.538
angles (deg): 90.00 90.00 99.49
Atoms (fractional coordinates):
Mg (0.000, 0.000, 0.000)
Te (0.500, 0.500, 0.000)
Mo (0.000, 0.500, 0.500)
Mo (0.500, 0.000, 0.500)

Values from the calculation:
size of the total moment = 0.00 μB/cell
formation energy (no corrections) = 0.5162 eV/atom
volume = 17.628 Å³ per atom

---

A plane-wave DFT calculation with PBE-GGA was carried out for a relaxed MgTe3Mo crystal.

a b c (Å): 5.341 5.341 5.341
angles (deg): 90.00 90.00 90.00
Atoms (fractional coordinates):
Mg (0.000, 0.000, 0.000)
Te (0.000, 0.500, 0.500)
Te (0.500, 0.000, 0.500)
Te (0.500, 0.500, 0.000)
Mo (0.500, 0.500, 0.500)

Values from the calculation:
size of the total moment = 0.00 μB/cell
formation energy (no corrections) = 0.3408 eV/atom
volume = 30.475 Å³ per atom

---

A plane-wave DFT calculation with PBE-GGA was carried out for a relaxed MgTeMo2 crystal.

a b c (Å): 5.027 5.027 5.027
angles (deg): 131.12 131.12 71.62
Atoms (fractional coordinates):
Mg (0.000, 0.000, 0.000)
Te (0.750, 0.250, 0.500)
Mo (0.250, 0.750, 0.500)
Mo (0.500, 0.500, 0.000)

Values from the calculation:
size of the total moment = 0.00 μB/cell
formation energy (no corrections) = 0.4299 eV/atom
volume = 17.638 Å³ per atom

---

A plane-wave DFT calculation with PBE-GGA was carried out for a relaxed MgTeMo2 crystal.

a b c (Å): 3.271 3.271 7.791
angles (deg): 90.00 90.00 90.00
Atoms (fractional coordinates):
Mg (0.000, 0.000, 0.000)
Te (0.500, 0.500, 0.622)
Mo (0.000, 0.000, 0.403)
Mo (0.500, 0.500, 0.228)

Values from the calculation:
size of the total moment = 0.00 μB/cell
formation energy (no corrections) = 0.1915 eV/atom
volume = 20.835 Å³ per atom

---

A plane-wave DFT calculation with PBE-GGA was carried out for a relaxed MgTeMo2 crystal.

a b c (Å): 5.424 5.424 5.424
angles (deg): 137.39 137.39 61.83
Atoms (fractional coordinates):
Mg (0.000, 0.000, 0.000)
Te (0.500, 0.500, 0.000)
Mo (0.250, 0.750, 0.500)
Mo (0.750, 0.250, 0.500)

Values from the calculation:
size of the total moment = 0.00 μB/cell
formation energy (no corrections) = 0.4956 eV/atom
volume = 18.070 Å³ per atom

---

A plane-wave DFT calculation with PBE-GGA was carried out for a relaxed MgV2TeMo crystal.

a b c (Å): 4.591 4.591 5.245
angles (deg): 90.00 90.00 90.00
Atoms (fractional coordinates):
Mg (0.000, 0.000, 0.000)
V (0.000, 0.500, 0.500)
V (0.500, 0.000, 0.500)
Te (0.500, 0.500, 0.000)
Mo (0.000, 0.000, 0.500)

Values from the calculation:
size of the total moment = 1.83 μB/cell
formation energy (no corrections) = 0.9837 eV/atom
volume = 22.115 Å³ per atom

---

A plane-wave DFT calculation with PBE-GGA was carried out for a relaxed MgZr2TeMo crystal.

a b c (Å): 5.275 5.275 5.005
angles (deg): 90.00 90.00 90.00
Atoms (fractional coordinates):
Mg (0.000, 0.000, 0.000)
Zr (0.000, 0.500, 0.500)
Zr (0.500, 0.000, 0.500)
Te (0.000, 0.000, 0.500)
Mo (0.500, 0.500, 0.000)

Values from the calculation:
size of the total moment = 2.16 μB/cell
formation energy (no corrections) = 1.1145 eV/atom
volume = 27.855 Å³ per atom

---

A plane-wave DFT calculation with PBE-GGA was carried out for a relaxed ThMgMo crystal.

a b c (Å): 6.212 6.212 5.327
angles (deg): 97.18 97.18 45.67
Atoms (fractional coordinates):
Th (0.132, 0.132, 0.318)
Th (0.868, 0.868, 0.682)
Mg (0.425, 0.425, 0.229)
Mg (0.575, 0.575, 0.771)
Mo (0.215, 0.215, 0.880)
Mo (0.785, 0.785, 0.120)

Values from the calculation:
size of the total moment = 0.00 μB/cell
calculated formation energy = 208 meV per atom
volume = 24.277 Å³ per atom